Record 1
A plane-wave DFT calculation with PBE was carried out for TlBN after structural relaxation.

The structure in extended XYZ format:
```
3
Lattice="2.741 0.026 -0.001 1.348 2.387 -0.001 1.268 0.748 9.039" Properties=species:S:1:pos:R:3 pbc="T T T"
N 4.242 2.503 2.570
B 2.878 1.698 2.571
Tl 2.798 1.651 7.079
```

Magnetization   0.000 μB/f.u.
Uncorrected formation energy   -75.4 meV per atom
Density   6.47 Mg/m³
E_tot   -5.865 eV per atom

=====

Record 2
A plane-wave DFT calculation with PBE was carried out for Ac4Cu2Rh after structural relaxation.

The structure in extended XYZ format:
```
7
Lattice="4.168 0.000 -1.177 -0.321 6.739 -1.137 0.023 0.103 8.051" Properties=species:S:1:pos:R:3 pbc="T T T"
Cu 0.873 2.760 3.090
Rh 0.000 0.000 0.000
Ac 1.527 5.003 5.407
Cu 2.998 4.082 2.648
Ac 2.343 1.839 0.330
Ac 3.459 1.331 4.281
Ac 0.411 5.511 1.456
```

Magnetization   0.000 μB/f.u.
Density   8.33 Mg/m³
Calculated formation energy   -0.296 eV/atom
E_tot   -4.864 eV per atom
Energy relative to the lowest polymorph listed for this composition   0 meV per atom

=====

Record 3
A plane-wave DFT calculation with PBE was carried out for Hf3PRu after structural relaxation.

The structure in extended XYZ format:
```
5
Lattice="4.727 0.000 0.000 0.000 4.727 0.000 0.000 0.000 4.727" Properties=species:S:1:pos:R:3 pbc="T T T"
P 0.000 0.000 0.000
Hf 2.364 0.000 0.000
Hf 0.000 0.000 2.364
Ru 2.364 2.364 2.364
Hf 0.000 2.364 0.000
```

Magnetization   0.786 μB/f.u.
Density   10.49 Mg/m³
Calculated formation energy   0.054 eV/atom
E_tot   -8.855 eV per atom
Energy relative to the lowest polymorph listed for this composition   0 meV per atom